Ce4Ge2C | PBE-GGA | relaxed

## Properties
As for the crystal system: monoclinic. The energy above the most stable polymorph in this dataset comes out at 0.28 eV/f.u. The volume is 351.1 Å³/cell. Its space-group type is No. 11. For the energy relative to the elements, the calculation gives -0.43 eV per atom. Its total energy is -90.4 eV per cell. The value obtained for the density of states at the Fermi level is 29.782 states/eV per cell. As for the total moment: 6.95 μB/cell.

a = 6.8566 Å, b = 6.2469 Å, c = 8.6524 Å
α = 90.00°, β = 108.68°, γ = 90.00°
Fractional coordinates of all 14 atoms:
Ce: 0.9998 0.0188 0.2463
Ce: 0.9998 0.4812 0.2463
Ce: 0.0002 0.5188 0.7537
Ce: 0.0002 0.9812 0.7537
Ce: 0.4203 0.7500 0.1193
Ce: 0.4229 0.7500 0.5900
Ce: 0.5771 0.2500 0.4100
Ce: 0.5797 0.2500 0.8807
Ge: 0.2305 0.2500 0.5637
Ge: 0.2562 0.2500 0.0586
Ge: 0.7438 0.7500 0.9414
Ge: 0.7695 0.7500 0.4363
C: 0.2470 0.7500 0.3111
C: 0.7530 0.2500 0.6889



Ce4Ge2C | PBE-GGA | relaxed

## Properties
As for the crystal system: tetragonal. The energy above the most stable polymorph in this dataset comes out at 0.00 eV/f.u. The volume is 176.8 Å³/cell. Its space-group type is No. 139. For the energy relative to the elements, the calculation gives -0.47 eV per atom. Its total energy is -45.5 eV per cell. The value obtained for the density of states at the Fermi level is 15.327 states/eV per cell. As for the total moment: 2.16 μB/cell.

a = 8.4013 Å, b = 8.4013 Å, c = 8.4013 Å
α = 146.83°, β = 146.83°, γ = 47.61°
Fractional coordinates of all 7 atoms:
Ce: 0.0000 0.5000 0.5000
Ce: 0.1682 0.1682 0.0000
Ce: 0.5000 0.0000 0.5000
Ce: 0.8318 0.8318 0.0000
Ge: 0.3652 0.3652 0.0000
Ge: 0.6348 0.6348 0.0000
C: 0.0000 0.0000 0.0000



Ce2Ho2Ge2C | PBE-GGA | relaxed

## Properties
As for the crystal system: tetragonal. The volume is 173.1 Å³/cell. Its space-group type is No. 139. For the energy relative to the elements, the calculation gives -0.59 eV per atom. Its total energy is -43.6 eV per cell. The value obtained for the density of states at the Fermi level is 13.083 states/eV per cell. As for the total moment: 1.78 μB/cell.

a = 8.4688 Å, b = 8.4688 Å, c = 8.4688 Å
α = 147.66°, β = 147.66°, γ = 46.38°
Fractional coordinates of all 7 atoms:
Ce: 0.1672 0.1672 0.0000
Ce: 0.8328 0.8328 0.0000
Ho: 0.0000 0.5000 0.5000
Ho: 0.5000 0.0000 0.5000
Ge: 0.3667 0.3667 0.0000
Ge: 0.6333 0.6333 0.0000
C: 0.0000 0.0000 0.0000



Ce6Ge2CI3 | PBE-GGA | relaxed

## Properties
As for the crystal system: monoclinic. The volume is 344.9 Å³/cell. Its space-group type is No. 12. The value obtained for the raw formation energy is -0.760 eV/atom. Its total energy is -67.8 eV per cell. The value obtained for the density of states at the Fermi level is 34.747 states/eV per cell. As for the total moment: 6.05 μB/cell.

a = 7.2171 Å, b = 7.2171 Å, c = 8.0072 Å
α = 98.61°, β = 98.61°, γ = 119.92°
Fractional coordinates of all 12 atoms:
Ce: 0.0627 0.3601 0.1906
Ce: 0.2313 0.2313 0.8026
Ce: 0.3601 0.0627 0.1906
Ce: 0.6399 0.9373 0.8094
Ce: 0.7687 0.7687 0.1974
Ce: 0.9373 0.6399 0.8094
Ge: 0.3348 0.6652 0.0000
Ge: 0.6652 0.3348 0.0000
C: 0.0000 0.0000 0.0000
I: 0.1777 0.8223 0.5000
I: 0.5000 0.5000 0.5000
I: 0.8223 0.1777 0.5000



Ce5Ge2CO | PBE-GGA | relaxed

## Properties
As for the crystal system: tetragonal. The volume is 215.7 Å³/cell. Its space-group type is No. 123. The value obtained for the raw formation energy is -0.842 eV/atom. Its total energy is -60.7 eV per cell. The value obtained for the density of states at the Fermi level is 21.014 states/eV per cell. As for the total moment: 4.61 μB/cell.

a = 4.5364 Å, b = 4.5364 Å, c = 10.4792 Å
α = 90.00°, β = 90.00°, γ = 90.00°
Fractional coordinates of all 9 atoms:
Ce: 0.0000 0.0000 0.0000
Ce: 0.0000 0.5000 0.5000
Ce: 0.5000 0.0000 0.5000
Ce: 0.5000 0.5000 0.2151
Ce: 0.5000 0.5000 0.7849
Ge: 0.0000 0.0000 0.2887
Ge: 0.0000 0.0000 0.7113
C: 0.5000 0.5000 0.0000
O: 0.5000 0.5000 0.5000



Ce2Pa2Ge2C | PBE-GGA | relaxed

## Properties
As for the crystal system: tetragonal. The volume is 168.8 Å³/cell. Its space-group type is No. 139. For the energy relative to the elements, the calculation gives -0.49 eV per atom. Its total energy is -52.7 eV per cell. The value obtained for the density of states at the Fermi level is 15.547 states/eV per cell. As for the total moment: 1.76 μB/cell.

a = 8.4361 Å, b = 8.4361 Å, c = 8.4361 Å
α = 147.92°, β = 147.92°, γ = 46.01°
Fractional coordinates of all 7 atoms:
Ce: 0.1681 0.1681 0.0000
Ce: 0.8319 0.8319 0.0000
Pa: 0.0000 0.5000 0.5000
Pa: 0.5000 0.0000 0.5000
Ge: 0.3664 0.3664 0.0000
Ge: 0.6336 0.6336 0.0000
C: 0.0000 0.0000 0.0000



Ce12GePb4C3 | PBE-GGA | relaxed

## Properties
As for the crystal system: cubic. The volume is 538.3 Å³/cell. Its space-group type is No. 229. For the energy relative to the elements, the calculation gives -0.34 eV per atom. Its total energy is -125.2 eV per cell. The value obtained for the density of states at the Fermi level is 40.266 states/eV per cell. As for the total moment: 9.25 μB/cell.

a = 8.8759 Å, b = 8.8759 Å, c = 8.8759 Å
α = 109.47°, β = 109.47°, γ = 109.47°
Fractional coordinates of all 20 atoms:
Ce: 0.0000 0.2693 0.2693
Ce: 0.0000 0.7307 0.7307
Ce: 0.2500 0.5000 0.7500
Ce: 0.2500 0.7500 0.5000
Ce: 0.2693 0.0000 0.2693
Ce: 0.2693 0.2693 0.0000
Ce: 0.5000 0.2500 0.7500
Ce: 0.5000 0.7500 0.2500
Ce: 0.7307 0.0000 0.7307
Ce: 0.7307 0.7307 0.0000
Ce: 0.7500 0.2500 0.5000
Ce: 0.7500 0.5000 0.2500
Ge: 0.0000 0.0000 0.0000
Pb: 0.0000 0.0000 0.5000
Pb: 0.0000 0.5000 0.0000
Pb: 0.5000 0.0000 0.0000
Pb: 0.5000 0.5000 0.5000
C: 0.0000 0.5000 0.5000
C: 0.5000 0.0000 0.5000
C: 0.5000 0.5000 0.0000



Ce4GePbC | PBE-GGA | relaxed

## Properties
As for the crystal system: orthorhombic. The volume is 376.7 Å³/cell. Its space-group type is No. 63. For the energy relative to the elements, the calculation gives -0.40 eV per atom. Its total energy is -88.1 eV per cell. The value obtained for the density of states at the Fermi level is 31.491 states/eV per cell. As for the total moment: 5.24 μB/cell.

a = 8.6732 Å, b = 8.6732 Å, c = 6.8877 Å
α = 90.00°, β = 90.00°, γ = 133.36°
Fractional coordinates of all 14 atoms:
Ce: 0.0000 0.5000 0.0000
Ce: 0.0000 0.5000 0.5000
Ce: 0.0800 0.9200 0.7500
Ce: 0.4053 0.5947 0.7500
Ce: 0.5000 0.0000 0.0000
Ce: 0.5000 0.0000 0.5000
Ce: 0.5947 0.4053 0.2500
Ce: 0.9200 0.0800 0.2500
Ge: 0.1185 0.8815 0.2500
Ge: 0.8815 0.1185 0.7500
Pb: 0.3943 0.6057 0.2500
Pb: 0.6057 0.3943 0.7500
C: 0.2392 0.7608 0.7500
C: 0.7608 0.2392 0.2500



CeGeRu2C | PBE-GGA | relaxed

## Properties
As for the crystal system: orthorhombic. The volume is 162.7 Å³/cell. Its space-group type is No. 63. For the energy relative to the elements, the calculation gives -0.46 eV per atom. Its total energy is -81.2 eV per cell. The value obtained for the density of states at the Fermi level is 8.870 states/eV per cell. As for the total moment: 0.69 μB/cell.

a = 5.9669 Å, b = 5.9669 Å, c = 7.2692 Å
α = 90.00°, β = 90.00°, γ = 141.05°
Fractional coordinates of all 10 atoms:
Ce: 0.0523 0.9477 0.7500
Ce: 0.9477 0.0523 0.2500
Ge: 0.2289 0.7711 0.2500
Ge: 0.7711 0.2289 0.7500
Ru: 0.3380 0.6620 0.5568
Ru: 0.3380 0.6620 0.9432
Ru: 0.6620 0.3380 0.0568
Ru: 0.6620 0.3380 0.4432
C: 0.5000 0.5000 0.0000
C: 0.5000 0.5000 0.5000



CeSm3Ge2C | PBE-GGA | relaxed

## Properties
As for the crystal system: orthorhombic. The volume is 178.6 Å³/cell. Its space-group type is No. 71. For the energy relative to the elements, the calculation gives -0.52 eV per atom. Its total energy is -42.2 eV per cell. The value obtained for the density of states at the Fermi level is 4.804 states/eV per cell. As for the total moment: 0.00 μB/cell.

a = 8.4886 Å, b = 8.4886 Å, c = 8.4886 Å
α = 147.74°, β = 146.70°, γ = 47.04°
Fractional coordinates of all 7 atoms:
Ce: 0.0000 0.0000 0.0000
Sm: 0.1717 0.6717 0.5000
Sm: 0.5000 0.5000 0.0000
Sm: 0.8283 0.3283 0.5000
Ge: 0.3646 0.8646 0.5000
Ge: 0.6354 0.1354 0.5000
C: 0.0000 0.5000 0.5000



Ce6Sn2GeC | PBE-GGA | relaxed

## Properties
As for the crystal system: tetragonal. The volume is 288.6 Å³/cell. Its space-group type is No. 123. For the energy relative to the elements, the calculation gives -0.29 eV per atom. Its total energy is -60.3 eV per cell. The value obtained for the density of states at the Fermi level is 21.286 states/eV per cell. As for the total moment: 5.19 μB/cell.

a = 5.2826 Å, b = 5.2826 Å, c = 10.3429 Å
α = 90.00°, β = 90.00°, γ = 90.00°
Fractional coordinates of all 10 atoms:
Ce: 0.0000 0.0000 0.2289
Ce: 0.0000 0.0000 0.7711
Ce: 0.0000 0.5000 0.0000
Ce: 0.0000 0.5000 0.5000
Ce: 0.5000 0.0000 0.0000
Ce: 0.5000 0.0000 0.5000
Sn: 0.5000 0.5000 0.2462
Sn: 0.5000 0.5000 0.7538
Ge: 0.0000 0.0000 0.5000
C: 0.0000 0.0000 0.0000



Ce2TcGeC | PBE-GGA | relaxed

## Properties
As for the crystal system: monoclinic. The volume is 203.8 Å³/cell. Its space-group type is No. 11. For the energy relative to the elements, the calculation gives -0.32 eV per atom. Its total energy is -75.4 eV per cell. The value obtained for the density of states at the Fermi level is 12.054 states/eV per cell. As for the total moment: 0.00 μB/cell.

a = 7.0687 Å, b = 3.7407 Å, c = 8.2316 Å
α = 90.00°, β = 110.55°, γ = 90.00°
Fractional coordinates of all 10 atoms:
Ce: 0.1788 0.2500 0.4035
Ce: 0.2292 0.7500 0.0148
Ce: 0.7708 0.2500 0.9852
Ce: 0.8212 0.7500 0.5965
Tc: 0.2165 0.2500 0.7115
Tc: 0.7835 0.7500 0.2885
Ge: 0.4653 0.7500 0.7368
Ge: 0.5347 0.2500 0.2632
C: 0.0115 0.7500 0.1864
C: 0.9885 0.2500 0.8136



Ce2Tm2Ge2C | PBE-GGA | relaxed

## Properties
As for the crystal system: tetragonal. The volume is 169.7 Å³/cell. Its space-group type is No. 139. For the energy relative to the elements, the calculation gives -0.62 eV per atom. Its total energy is -43.6 eV per cell. The value obtained for the density of states at the Fermi level is 12.750 states/eV per cell. As for the total moment: 1.79 μB/cell.

a = 8.4583 Å, b = 8.4583 Å, c = 8.4583 Å
α = 147.96°, β = 147.96°, γ = 45.94°
Fractional coordinates of all 7 atoms:
Ce: 0.1668 0.1668 0.0000
Ce: 0.8332 0.8332 0.0000
Tm: 0.0000 0.5000 0.5000
Tm: 0.5000 0.0000 0.5000
Ge: 0.3676 0.3676 0.0000
Ge: 0.6324 0.6324 0.0000
C: 0.0000 0.0000 0.0000



Ce2Zr2Ge2C | PBE-GGA | relaxed

## Properties
As for the crystal system: tetragonal. The volume is 156.6 Å³/cell. Its space-group type is No. 139. For the energy relative to the elements, the calculation gives -0.68 eV per atom. Its total energy is -52.2 eV per cell. The value obtained for the density of states at the Fermi level is 12.888 states/eV per cell. As for the total moment: 3.00 μB/cell.

a = 8.4375 Å, b = 8.4375 Å, c = 8.4375 Å
α = 149.25°, β = 149.25°, γ = 44.04°
Fractional coordinates of all 7 atoms:
Ce: 0.1678 0.1678 0.0000
Ce: 0.8322 0.8322 0.0000
Zr: 0.0000 0.5000 0.5000
Zr: 0.5000 0.0000 0.5000
Ge: 0.3730 0.3730 0.0000
Ge: 0.6270 0.6270 0.0000
C: 0.0000 0.0000 0.0000



Ce6H3CN2 | PBE-GGA | relaxed

## Properties
As for the crystal system: monoclinic. The volume is 193.4 Å³/cell. Its space-group type is No. 12. Its total energy is -80.4 eV per cell. The value obtained for the density of states at the Fermi level is 19.194 states/eV per cell. As for the total moment: 0.39 μB/cell.

a = 8.0696 Å, b = 8.0696 Å, c = 7.2683 Å
α = 105.72°, β = 105.72°, γ = 25.17°
Fractional coordinates of all 12 atoms:
Ce: 0.0036 0.0036 0.2447
Ce: 0.3299 0.3299 0.4257
Ce: 0.3356 0.3356 0.9065
Ce: 0.6644 0.6644 0.0935
Ce: 0.6701 0.6701 0.5743
Ce: 0.9964 0.9964 0.7553
H: 0.1649 0.1649 0.8315
H: 0.5000 0.5000 0.5000
H: 0.8351 0.8351 0.1685
C: 0.5000 0.5000 0.0000
N: 0.1679 0.1679 0.3354
N: 0.8321 0.8321 0.6646



Ce8HC3N3 | PBE-GGA | relaxed

## Properties
As for the crystal system: trigonal. The volume is 263.6 Å³/cell. Its space-group type is No. 166. Its total energy is -113.3 eV per cell. The value obtained for the density of states at the Fermi level is 22.067 states/eV per cell. As for the total moment: 2.54 μB/cell.

a = 7.1880 Å, b = 7.1880 Å, c = 7.1880 Å
α = 60.17°, β = 60.17°, γ = 60.17°
Fractional coordinates of all 15 atoms:
Ce: 0.2443 0.7530 0.7530
Ce: 0.2470 0.2470 0.7557
Ce: 0.2470 0.7557 0.2470
Ce: 0.2479 0.2479 0.2479
Ce: 0.7521 0.7521 0.7521
Ce: 0.7530 0.2443 0.7530
Ce: 0.7530 0.7530 0.2443
Ce: 0.7557 0.2470 0.2470
H: 0.5000 0.5000 0.5000
C: 0.0000 0.5000 0.5000
C: 0.5000 0.0000 0.5000
C: 0.5000 0.5000 0.0000
N: 0.0000 0.0000 0.5000
N: 0.0000 0.5000 0.0000
N: 0.5000 0.0000 0.0000



Ce6H2CN3 | PBE-GGA | relaxed

## Properties
As for the crystal system: monoclinic. The volume is 195.8 Å³/cell. Its space-group type is No. 12. Its total energy is -87.4 eV per cell. The value obtained for the density of states at the Fermi level is 16.313 states/eV per cell. As for the total moment: 2.75 μB/cell.

a = 8.0007 Å, b = 8.0007 Å, c = 7.2922 Å
α = 104.43°, β = 104.43°, γ = 25.72°
Fractional coordinates of all 12 atoms:
Ce: 0.0017 0.0017 0.2515
Ce: 0.3326 0.3326 0.9276
Ce: 0.3390 0.3390 0.4013
Ce: 0.6610 0.6610 0.5987
Ce: 0.6674 0.6674 0.0724
Ce: 0.9983 0.9983 0.7485
H: 0.1715 0.1715 0.3418
H: 0.8285 0.8285 0.6582
C: 0.5000 0.5000 0.0000
N: 0.1614 0.1614 0.8322
N: 0.5000 0.5000 0.5000
N: 0.8386 0.8386 0.1678



Ce8H3C4N | PBE-GGA | relaxed

## Properties
As for the crystal system: trigonal. The volume is 265.3 Å³/cell. Its space-group type is No. 166. Its total energy is -109.9 eV per cell. The value obtained for the density of states at the Fermi level is 22.498 states/eV per cell. As for the total moment: 2.01 μB/cell.

a = 7.2218 Å, b = 7.2218 Å, c = 7.2218 Å
α = 59.82°, β = 59.82°, γ = 59.82°
Fractional coordinates of all 16 atoms:
Ce: 0.2440 0.2440 0.2440
Ce: 0.2435 0.7514 0.7514
Ce: 0.2486 0.2486 0.7565
Ce: 0.2486 0.7565 0.2486
Ce: 0.7514 0.2435 0.7514
Ce: 0.7514 0.7514 0.2435
Ce: 0.7565 0.2486 0.2486
Ce: 0.7560 0.7560 0.7560
H: 0.0000 0.5000 0.5000
H: 0.5000 0.0000 0.5000
H: 0.5000 0.5000 0.0000
C: 0.0000 0.0000 0.5000
C: 0.0000 0.5000 0.0000
C: 0.5000 0.0000 0.0000
C: 0.5000 0.5000 0.5000
N: 0.0000 0.0000 0.0000



Ce4H2CN | PBE-GGA | relaxed

## Properties
As for the crystal system: monoclinic. The volume is 130.6 Å³/cell. Its space-group type is No. 10. Its total energy is -53.1 eV per cell. The value obtained for the density of states at the Fermi level is 12.343 states/eV per cell. As for the total moment: 1.75 μB/cell.

a = 6.1048 Å, b = 3.5290 Å, c = 6.3936 Å
α = 90.00°, β = 108.52°, γ = 90.00°
Fractional coordinates of all 8 atoms:
Ce: 0.2416 0.0000 0.2329
Ce: 0.2523 0.5000 0.7629
Ce: 0.7477 0.5000 0.2371
Ce: 0.7584 0.0000 0.7671
H: 0.0000 0.0000 0.5000
H: 0.5000 0.5000 0.5000
C: 0.5000 0.0000 0.0000
N: 0.0000 0.5000 0.0000



Ce4HC2N | PBE-GGA | relaxed

## Properties
As for the crystal system: monoclinic. The volume is 133.0 Å³/cell. Its space-group type is No. 10. Its total energy is -58.4 eV per cell. The value obtained for the density of states at the Fermi level is 10.447 states/eV per cell. As for the total moment: 1.06 μB/cell.

a = 6.1846 Å, b = 3.6108 Å, c = 6.2948 Å
α = 90.00°, β = 108.84°, γ = 90.00°
Fractional coordinates of all 8 atoms:
Ce: 0.2427 0.0000 0.2382
Ce: 0.2532 0.5000 0.7533
Ce: 0.7468 0.5000 0.2467
Ce: 0.7573 0.0000 0.7618
H: 0.5000 0.5000 0.5000
C: 0.0000 0.0000 0.5000
C: 0.0000 0.5000 0.0000
N: 0.5000 0.0000 0.0000